Entry 1:
The following is a GGA-PBE calculation of an optimized crystal structure of Ac2La3Tb3, from Alexandria. Values from VASP.

Computed properties:
The calculated formation energy is 109 meV per atom.

Geometry as Quantum ESPRESSO input:
```
&SYSTEM
  ibrav = 0, nat = 16, ntyp = 3
/
ATOMIC_SPECIES
Ac 227.00 Ac.upf
La 138.91 La.upf
Tb 158.93 Tb.upf
ATOMIC_POSITIONS angstrom
Ac 1.845 5.840 9.018
Ac 1.845 5.840 12.755
Ac 1.845 -5.840 1.760
Ac 1.845 -5.840 5.497
La 1.845 2.560 7.272
La 1.845 2.560 14.501
La 1.845 2.488 10.886
La 1.845 -2.488 3.629
La 1.845 -2.560 0.014
La 1.845 -2.560 7.244
Tb 1.845 11.150 9.101
Tb 1.845 11.150 12.672
Tb 1.845 2.576 3.629
Tb 1.845 -2.576 10.886
Tb 1.845 -11.150 1.843
Tb 1.845 -11.150 5.414
CELL_PARAMETERS angstrom
1.845 -11.233 0.000
1.845 11.233 0.000
0.000 0.000 14.515
```

---

Entry 2:
The following is a GGA-PBE calculation of an optimized crystal structure of KCd2Hg, from Alexandria. Values from VASP.

Computed properties:
The calculated formation energy is -43 meV per atom.

Geometry as Quantum ESPRESSO input:
```
&SYSTEM
  ibrav = 0, nat = 4, ntyp = 3
/
ATOMIC_SPECIES
K 39.10 K.upf
Cd 112.41 Cd.upf
Hg 200.59 Hg.upf
ATOMIC_POSITIONS angstrom
K 0.000 0.000 0.000
Cd 1.316 0.000 4.091
Cd 8.363 0.000 1.763
Hg 4.839 0.000 2.927
CELL_PARAMETERS angstrom
5.752 -1.813 0.000
5.752 1.813 0.000
-1.826 0.000 5.854
```

---

Entry 3:
The following is a GGA-PBE calculation of an optimized crystal structure of AlW2Cl, from Alexandria. Values from VASP.

Computed properties:
The energy above the most stable polymorph in this dataset is 86.85 kJ/mol of atoms. The calculation puts the formation energy without anion corrections at 1134 meV per atom.

Geometry as Quantum ESPRESSO input:
```
&SYSTEM
  ibrav = 0, nat = 4, ntyp = 3
/
ATOMIC_SPECIES
Al 26.98 Al.upf
W 183.84 W.upf
Cl 35.45 Cl.upf
ATOMIC_POSITIONS angstrom
Al 0.000 0.000 0.000
W 1.919 0.000 2.245
W 0.000 1.919 2.245
Cl 0.000 0.000 4.491
CELL_PARAMETERS angstrom
-1.919 1.919 4.491
1.919 -1.919 4.491
1.919 1.919 -4.491
```

---

Entry 4:
The following is a GGA-PBE calculation of an optimized crystal structure of Pr8Nd2Sm3, from Alexandria. Values from VASP.

Computed properties:
The energy above the most stable polymorph in this dataset is 0.00 kJ/mol of atoms. The calculated formation energy is 151 meV per atom.

Geometry as Quantum ESPRESSO input:
```
&SYSTEM
  ibrav = 0, nat = 13, ntyp = 3
/
ATOMIC_SPECIES
Pr 140.91 Pr.upf
Nd 144.24 Nd.upf
Sm 150.36 Sm.upf
ATOMIC_POSITIONS angstrom
Pr -0.017 0.000 1.616
Pr 2.323 3.079 4.793
Pr 3.575 0.000 2.547
Pr 8.570 3.079 0.973
Pr 2.323 -3.079 4.793
Pr 7.317 0.000 3.219
Pr 8.570 -3.079 0.973
Pr 10.910 0.000 4.150
Nd 0.741 0.000 4.847
Nd 10.151 0.000 0.919
Sm 5.446 2.961 2.883
Sm 6.717 0.000 0.000
Sm 5.446 -2.961 2.883
CELL_PARAMETERS angstrom
6.717 -6.010 0.000
6.717 6.010 0.000
-2.541 0.000 5.766
```

---

Entry 5:
The following is a GGA-PBE calculation of an optimized crystal structure of LiCrHg2, from Alexandria. Values from VASP.

Computed properties:
The calculated formation energy is 116 meV per atom.

Geometry as Quantum ESPRESSO input:
```
&SYSTEM
  ibrav = 0, nat = 4, ntyp = 3
/
ATOMIC_SPECIES
Li 6.94 Li.upf
Cr 52.00 Cr.upf
Hg 200.59 Hg.upf
ATOMIC_POSITIONS angstrom
Li 0.000 0.000 0.000
Cr 7.276 0.000 1.607
Hg 1.682 0.000 3.972
Hg 4.499 0.000 2.272
CELL_PARAMETERS angstrom
5.067 -1.611 0.000
5.067 1.611 0.000
-1.077 0.000 4.676
```

---

Entry 6:
The following is a GGA-PBE calculation of an optimized crystal structure of Al2C, from Alexandria. Values from VASP.

Computed properties:
The calculated formation energy is 779 meV per atom.

Geometry as Quantum ESPRESSO input:
```
&SYSTEM
  ibrav = 0, nat = 6, ntyp = 2
/
ATOMIC_SPECIES
Al 26.98 Al.upf
C 12.01 C.upf
ATOMIC_POSITIONS angstrom
Al 1.389 0.694 1.180
Al 1.389 0.694 3.649
Al 0.000 0.694 6.009
Al 0.000 0.694 8.477
C 1.389 -0.694 7.243
C 0.000 2.083 2.414
CELL_PARAMETERS angstrom
-1.389 1.389 9.657
1.389 -1.389 9.657
1.389 1.389 -9.657
```

---

Looking at total magnetic moment for the records above, in order, we have 0.0 0.0 0.0 0.0 3.9 0.0 Bohr magnetons per cell.
Looking at D(E_F) for the records above, in order, we have 1.710 0.350 0.756 1.664 0.489 0.324 states/eV per atom.